No. 1
First-principles (GGA-PBE) data for a relaxed structure of LiNdAgPb, as listed in Alexandria. Values from VASP.

Results
Space group   F-43m, No. 216
Total DFT energy (no corrections)   -14.7 eV per cell
ΔH_f (0 K)   -356 meV per atom

Cell and atoms, written as Quantum ESPRESSO input:
```
&SYSTEM
  ibrav = 0, nat = 4, ntyp = 4
/
ATOMIC_SPECIES
Li 6.94 Li.upf
Nd 144.24 Nd.upf
Ag 107.87 Ag.upf
Pb 207.20 Pb.upf
ATOMIC_POSITIONS crystal
Li 0.000 0.000 0.000
Nd 0.500 0.500 0.500
Ag 0.750 0.750 0.750
Pb 0.250 0.250 0.250
CELL_PARAMETERS angstrom
0.000 3.659 3.659
3.659 0.000 3.659
3.659 3.659 0.000
```



No. 2
First-principles (GGA-PBE) data for a relaxed structure of Li2NdAg2Pb2, as listed in Alexandria. Values from VASP.

Results
Space group   R-3m, No. 166
Total DFT energy (no corrections)   -23.8 eV per cell
ΔH_f (0 K)   -295 meV per atom

Cell and atoms, written as Quantum ESPRESSO input:
```
&SYSTEM
  ibrav = 0, nat = 7, ntyp = 4
/
ATOMIC_SPECIES
Li 6.94 Li.upf
Nd 144.24 Nd.upf
Ag 107.87 Ag.upf
Pb 207.20 Pb.upf
ATOMIC_POSITIONS crystal
Li 0.141 0.141 0.141
Li 0.859 0.859 0.859
Nd 0.000 0.000 0.000
Ag 0.440 0.440 0.440
Ag 0.560 0.560 0.560
Pb 0.260 0.260 0.260
Pb 0.740 0.740 0.740
CELL_PARAMETERS angstrom
2.389 1.379 8.075
-2.389 1.379 8.075
0.000 -2.758 8.075
```



ΔH_f (0 K) of number 2 (Li2NdAg2Pb2)?
-295 meV per atom